VASP calculation (GGA+U) on a geometry-optimized NiS2ClO structure.

a = 4.200 Å, b = 4.200 Å, c = 4.541 Å
α = 90.00°, β = 90.00°, γ = 90.00°
Sites, in units of the cell vectors:
Ni 0.000 0.000 0.000
S 0.000 0.500 0.500
S 0.500 0.000 0.500
Cl 0.500 0.500 0.000
O 0.500 0.500 0.500

Values from the calculation:
- SG = No. 123
- polymorph energy (0 for the lowest one) (eV/atom) = 0.0000
- DOS(E_F) (states/eV/cell) = 1.9